# 1
# BaTe2Rh (GGA-PBE, optimized geometry)
data_BaTe2Rh
_cell_length_a 4.0923
_cell_length_b 6.4737
_cell_length_c 9.2580
_cell_angle_alpha 90.00
_cell_angle_beta 90.00
_cell_angle_gamma 90.00
_space_group_name_H-M_alt 'I m m m'
_space_group_IT_number 71
_space_group_name_Hall '-I 2 2'
loop_
_atom_site_label
_atom_site_fract_x
_atom_site_fract_y
_atom_site_fract_z
Ba1 0.0000 0.0000 0.0000
Te1 0.0000 0.5000 0.1804
Rh1 0.0000 0.0000 0.5000
# Size of the total moment (μB per formula unit): 0.0
# Density of states at the Fermi level (states/eV/cell): 6.024

# 2
# BaTe2Rh (GGA-PBE, optimized geometry)
data_BaTe2Rh
_cell_length_a 5.0910
_cell_length_b 4.8266
_cell_length_c 5.7671
_cell_angle_alpha 90.00
_cell_angle_beta 102.06
_cell_angle_gamma 90.00
_space_group_name_H-M_alt 'P 1 m 1'
_space_group_IT_number 6
_space_group_name_Hall 'P -2y'
loop_
_atom_site_label
_atom_site_fract_x
_atom_site_fract_y
_atom_site_fract_z
Ba1 0.0000 0.0000 0.0000
Te1 0.4440 0.5000 0.8345
Te2 0.6175 0.0000 0.4319
Rh1 0.5483 0.5000 0.2933
# Size of the total moment (μB per formula unit): 0.0
# Density of states at the Fermi level (states/eV/cell): 2.835

# 3
# BaTe2Rh (GGA-PBE, optimized geometry)
data_BaTe2Rh
_cell_length_a 6.5384
_cell_length_b 8.9545
_cell_length_c 4.1760
_cell_angle_alpha 90.00
_cell_angle_beta 90.00
_cell_angle_gamma 90.00
_space_group_name_H-M_alt 'C m m m'
_space_group_IT_number 65
_space_group_name_Hall '-C 2 2'
loop_
_atom_site_label
_atom_site_fract_x
_atom_site_fract_y
_atom_site_fract_z
Ba1 0.0000 0.0000 0.0000
Te1 0.0000 0.3173 0.5000
Rh1 0.0000 0.5000 0.0000
# Size of the total moment (μB per formula unit): 0.0
# Density of states at the Fermi level (states/eV/cell): 2.244

Taking the records one at a time from the top gives E above lowest polymorph values of 0.29, 0.64, 0.17 eV per formula unit.
Taking the records one at a time from the top gives energy relative to the elements, uncorrected values of -0.773, -0.687, -0.803 eV/atom.